First-principles (GGA-PBE) data for a relaxed SnH2Br8 crystal, as listed in Alexandria.

Results
- Volume: 35.6 A^3/atom
- Total energy: -2.4436 eV per atom
- Space group: C2/m
- Total magnetic moment: 0.00 μB/cell

```
SnH2Br8
1.0
3.8330 -4.6283 0.0000
3.8330 4.6283 0.0000
-2.3796 0.0000 11.0314
Sn H Br
1 2 8
Direct
0.0000 0.0000 0.0000 Sn
0.1466 0.1466 0.6035 H
0.8534 0.8534 0.3965 H
0.0820 0.7169 0.1520 Br
0.2676 0.2676 0.5220 Br
0.2831 0.9180 0.8480 Br
0.3451 0.3451 0.1372 Br
0.6549 0.6549 0.8628 Br
0.7169 0.0820 0.1520 Br
0.7324 0.7324 0.4780 Br
0.9180 0.2831 0.8480 Br
```